Computed, not measured: a relaxed structure of NbH3O at the GGA-PBE level of DFT.

```
NbH3O
1.0
-2.1549 -0.6199 2.7261
-1.4118 -2.7295 -1.7367
2.4131 -2.1506 1.4184
H Nb O
3 1 1
direct
0.0000 0.5000 0.0000 H
0.0000 0.0000 0.5000 H
0.5000 0.0000 0.0000 H
0.0000 0.0000 0.0000 Nb
0.5000 0.5000 0.5000 O
```

Summary:
- Distance to the lowest polymorph of the same formula: 0 meV per atom
- Total moment: 0.00 μB/cell
- Space group: No. 221
- Electronic total energy: -4.492 eV per atom

=====

Computed, not measured: a relaxed structure of Li2BeRe at the GGA-PBE level of DFT.

```
Li2BeRe
1.0
-4.0659 0.0314 -2.9965
-0.1444 -1.7489 -4.7362
1.5044 -1.2397 4.6596
Be Li Re
1 2 1
direct
0.7500 0.2500 0.5000 Be
0.0000 0.0000 0.0000 Li
0.5000 0.5000 0.0000 Li
0.2500 0.7500 0.5000 Re
```

Summary:
- E_form: 0.34 eV per atom
- Total moment: 0.00 μB/cell
- Space group: No. 139
- Electronic total energy: -4.658 eV per atom

=====

Computed, not measured: a relaxed structure of Sm4NiS2Cl at the GGA-PBE level of DFT.

```
Sm4NiS2Cl
1.0
3.9028 0.0000 0.0000
0.0000 7.0777 -0.2032
0.0000 2.4378 6.6501
Sm Ni S Cl
4 1 2 1
direct
0.0000 0.7418 0.7665 Sm
0.0000 0.2582 0.2335 Sm
0.5000 0.7637 0.2341 Sm
0.5000 0.2363 0.7659 Sm
0.5000 0.5000 0.0000 Ni
0.0000 0.0000 0.0000 S
0.5000 0.0000 0.5000 S
0.0000 0.5000 0.5000 Cl
```

Summary:
- Uncorrected formation energy: -1436 meV per atom
- Total moment: 0.00 μB/cell
- Space group: No. 10
- Electronic total energy: -5.781 eV per atom

=====

Computed, not measured: a relaxed structure of LaCe2Cu2Ge2 at the GGA-PBE level of DFT.

```
LaCe2Cu2Ge2
1.0
-1.7291 -3.8758 0.5261
2.5183 -3.4455 0.2751
0.7055 -1.3732 9.5832
La Ce Cu Ge
1 2 2 2
direct
0.0000 0.0000 0.0000 La
0.1413 0.1413 0.5761 Ce
0.8587 0.8587 0.4239 Ce
0.5896 0.5896 0.2312 Cu
0.4104 0.4104 0.7688 Cu
0.7402 0.7402 0.7795 Ge
0.2598 0.2598 0.2205 Ge
```

Summary:
- E_form: -0.52 eV per atom
- Total moment: 1.51 μB/cell
- Space group: No. 166
- Electronic total energy: -5.406 eV per atom

=====

Computed, not measured: a relaxed structure of BSbSe2 at the GGA-PBE level of DFT.

```
BSbSe2
1.0
-1.2524 -1.2122 -3.8078
-1.0837 -6.4381 1.5800
-7.3659 -0.5888 1.6865
Sb B Se
2 2 4
direct
0.7536 0.8407 0.4463 Sb
0.2464 0.1593 0.5537 Sb
0.3328 0.9362 0.0498 B
0.6672 0.0638 0.9502 B
0.5527 0.3310 0.7482 Se
0.4473 0.6690 0.2518 Se
0.9418 0.1356 0.1408 Se
0.0582 0.8644 0.8592 Se
```

Summary:
- Distance to the lowest polymorph of the same formula: 0 meV per atom
- Uncorrected formation energy: -78 meV per atom
- Total moment: 0.00 μB/cell
- Space group: No. 2
- Electronic total energy: -4.520 eV per atom

=====

Computed, not measured: a relaxed structure of As2PtRh at the GGA-PBE level of DFT.

```
As2PtRh
1.0
-2.9799 3.0424 -6.2014
-4.1563 -0.1730 -6.2680
-5.7327 2.1876 -4.3524
As Rh Pt
2 1 1
direct
0.0139 0.0139 0.0139 As
0.2378 0.2378 0.2378 As
0.7415 0.7415 0.7415 Rh
0.5068 0.5068 0.5068 Pt
```

Summary:
- Distance to the lowest polymorph of the same formula: 107 meV per atom
- E_form: -0.16 eV per atom
- Total moment: 0.00 μB/cell
- Space group: No. 160
- Electronic total energy: -5.833 eV per atom

=====

Computed, not measured: a relaxed structure of PrNdHg3 at the GGA-PBE level of DFT.

```
PrNdHg3
1.0
6.6160 0.0000 0.0000
0.0000 7.3526 -0.0011
0.0000 -3.6753 6.3681
Pr Nd Hg
2 2 6
direct
0.0000 0.0000 0.0000 Pr
0.5000 0.0000 0.0000 Pr
0.2500 0.3335 0.6665 Nd
0.7500 0.6665 0.3335 Nd
0.2500 0.7966 0.2034 Hg
0.7500 0.2034 0.7966 Hg
0.2500 0.7966 0.5934 Hg
0.7500 0.2034 0.4066 Hg
0.2500 0.4066 0.2034 Hg
0.7500 0.5934 0.7966 Hg
```

Summary:
- Distance to the lowest polymorph of the same formula: 247 meV per atom
- E_form: -0.18 eV per atom
- Total moment: 0.00 μB/cell
- Space group: No. 194
- Electronic total energy: -2.269 eV per atom

=====

Computed, not measured: a relaxed structure of PaAuF2 at the GGA-PBE level of DFT.

```
PaAuF2
1.0
-0.8340 1.3561 -2.6422
-2.8836 -0.3117 -1.0505
-4.0692 8.8368 4.0190
Pa Au F
1 1 2
direct
0.5000 0.5000 0.5000 Pa
0.0000 0.0000 0.0000 Au
0.1140 0.1140 0.6581 F
0.8860 0.8860 0.3419 F
```

Summary:
- Uncorrected formation energy: -1856 meV per atom
- Total moment: 0.00 μB/cell
- Space group: No. 166
- Electronic total energy: -5.985 eV per atom

=====

Computed, not measured: a relaxed structure of CaLuSc2 at the GGA-PBE level of DFT.

```
CaLuSc2
1.0
-1.3510 2.4762 -1.9472
-2.7795 -0.6392 -1.9012
-8.0704 3.8102 7.4279
Sc Ca Lu
2 1 1
direct
0.7445 0.7445 0.7666 Sc
0.2555 0.2555 0.2334 Sc
0.5000 0.5000 0.5000 Ca
0.0000 0.0000 0.0000 Lu
```

Summary:
- Distance to the lowest polymorph of the same formula: 13 meV per atom
- E_form: 0.15 eV per atom
- Total moment: 0.00 μB/cell
- Space group: No. 166
- Electronic total energy: -4.642 eV per atom

=====

Computed, not measured: a relaxed structure of KSi at the GGA-PBE level of DFT.

```
KSi
1.0
-0.8103 8.2588 -9.5981
7.7003 -10.0435 -0.9057
-2.9504 -2.1200 -1.5751
K Si
6 6
direct
0.7726 0.5452 0.2500 K
0.2274 0.7726 0.7500 K
0.4548 0.2274 0.2500 K
0.2274 0.4548 0.7500 K
0.7726 0.2274 0.2500 K
0.5452 0.7726 0.7500 K
0.4720 0.9439 0.2500 Si
0.5280 0.4720 0.7500 Si
0.0561 0.5280 0.2500 Si
0.5280 0.0561 0.7500 Si
0.4720 0.5280 0.2500 Si
0.9439 0.4720 0.7500 Si
```

Summary:
- Distance to the lowest polymorph of the same formula: 176 meV per atom
- Uncorrected formation energy: 103 meV per atom
- Total moment: 0.00 μB/cell
- Space group: No. 194
- Electronic total energy: -3.157 eV per atom

=====

Computed, not measured: a relaxed structure of TaNi2W at the GGA-PBE level of DFT.

```
TaNi2W
1.0
3.8265 0.0000 0.0000
0.0000 3.8350 0.0000
0.0000 0.0000 3.7886
Ni W Ta
2 1 1
direct
0.0000 0.0000 0.0000 Ni
0.5000 0.5000 0.0000 Ni
0.0000 0.5000 0.5000 W
0.5000 0.0000 0.5000 Ta
```

Summary:
- E_form: -0.07 eV per atom
- Total moment: 0.00 μB/cell
- Space group: No. 123
- Electronic total energy: -9.165 eV per atom

=====

Computed, not measured: a relaxed structure of Ti8Ni2Ir at the GGA-PBE level of DFT.

```
Ti8Ni2Ir
1.0
-0.0775 4.4751 -0.7626
0.7998 -2.4287 -6.4295
-6.1014 -0.9189 3.1314
Ti Ni Ir
8 2 1
direct
0.9046 0.9033 0.6735 Ti
0.9046 0.6735 0.9033 Ti
0.3111 0.6133 0.6133 Ti
0.5000 0.7830 0.2170 Ti
0.5000 0.2170 0.7830 Ti
0.6889 0.3867 0.3867 Ti
0.0954 0.3265 0.0967 Ti
0.0954 0.0967 0.3265 Ti
0.0000 0.3010 0.6990 Ni
0.0000 0.6990 0.3010 Ni
0.5000 0.0000 0.0000 Ir
```

Summary:
- E_form: -0.21 eV per atom
- Total moment: 0.00 μB/cell
- Space group: No. 12
- Electronic total energy: -7.809 eV per atom

=====

Computed, not measured: a relaxed structure of PrSmThSc at the GGA-PBE level of DFT.

```
PrSmThSc
1.0
3.4556 0.0000 -0.0029
0.0000 5.3596 0.0000
-1.7148 0.0000 6.7234
Pr Sm Th Sc
1 1 1 1
direct
0.7506 0.5000 0.4293 Pr
0.6101 0.0000 0.1543 Sm
0.9855 0.5000 0.9025 Th
0.3617 0.0000 0.6531 Sc
```

Summary:
- Distance to the lowest polymorph of the same formula: 0 meV per atom
- E_form: 0.09 eV per atom
- Total moment: 0.00 μB/cell
- Space group: No. 6
- Electronic total energy: -5.718 eV per atom